Here is La2PrTh3P6 after structural relaxation from the Alexandria database. Energies are from GGA-PBE.

Cell lengths 7.2583, 7.2583, 7.2671 Å; angles 99.60, 99.60, 119.93 degrees
Positions (direct):
P (0.7542, 0.7542, 0.2598)
P (0.4185, 0.0862, 0.2588)
P (0.0862, 0.4185, 0.2588)
P (0.9138, 0.5815, 0.7412)
P (0.2458, 0.2458, 0.7402)
P (0.5815, 0.9138, 0.7412)
Th (0.1670, 0.8330, 0.5000)
Th (0.5000, 0.5000, 0.5000)
Th (0.8330, 0.1670, 0.5000)
La (0.3333, 0.6667, 0.0000)
La (0.6667, 0.3333, 0.0000)
Pr (0.0000, 0.0000, 0.0000)

Formation enthalpy at 0 K = -1.58 eV/atom
Mass density = 6.90 g/cm3
DOS at the Fermi energy = 5.19 states/eV/f.u.
Uncorrected energy = -88.3 eV per cell
Space group = C2/m (12)